A relaxed LaDy3Th4 crystal, computed with GGA-PBE.

abc: 19.118 3.481 8.810
angles: 90.00 110.74 90.00
Space group C2/m (No. 12)
One atom of each set of equivalent atoms:
La 0.000 0.000 0.000
Dy 0.000 0.500 0.500
Dy 0.199 0.500 0.152
Th 0.120 0.000 0.805
Th 0.164 0.000 0.468

Computed properties:
calculated formation energy: 0.29 eV/atom



A relaxed NaYAs2O6 crystal, computed with GGA-PBE.

abc: 10.465 9.409 6.863
angles: 90.00 114.88 90.00
Space group C2/c (No. 15)
One atom of each set of equivalent atoms:
Na 0.000 0.212 0.250
Y 0.000 0.404 0.750
As 0.197 0.074 0.741
O 0.113 0.415 0.134
O 0.145 0.252 0.710
O 0.155 0.013 0.453

Computed properties:
E_form (uncorrected): -177.97 kJ/mol of atoms



A relaxed Na6Pd3Br14 crystal, computed with GGA-PBE.

abc: 10.5403 10.5403 7.2689
angles: 90.00 90.00 120.00
Space group P3 (No. 143)
One atom of each set of equivalent atoms:
Na 0.0611 0.5892 0.0000
Na 0.2852 0.1049 0.5244
Pd 0.0000 0.0000 0.9474
Pd 0.3333 0.6667 0.4447
Pd 0.6667 0.3333 0.8405
Br 0.0000 0.0000 0.3024
Br 0.0953 0.8598 0.7648
Br 0.1674 0.4344 0.2669
Br 0.3333 0.6667 0.7988
Br 0.4432 0.2020 0.0424
Br 0.5415 0.4324 0.6359

Computed properties:
E_form (uncorrected): -78.81 kJ/mol of atoms



A relaxed BaZn3Cd3 crystal, computed with GGA-PBE.

abc: 9.4602 9.4602 4.4284
angles: 90.00 90.00 120.00
Space group P6_3/m (No. 176)
One atom of each set of equivalent atoms:
Ba 0.3333 0.6667 0.2500
Zn 0.0488 0.4410 0.7500
Cd 0.0459 0.7884 0.7500

Computed properties:
calculated formation energy: -0.02 eV/atom



A relaxed SrCaAsSe2 crystal, computed with GGA-PBE.

abc: 5.669 5.669 5.508
angles: 90.00 90.00 90.00
Space group P4/mmm (No. 123)
One atom of each set of equivalent atoms:
Sr 0.000 0.000 0.000
Ca 0.500 0.500 0.500
As 0.000 0.000 0.500
Se 0.000 0.500 0.000

Computed properties:
E_form (uncorrected): -29.34 kJ/mol of atoms
E above lowest polymorph: 366 meV per atom



A relaxed LiY2Sb crystal, computed with GGA-PBE.

abc: 4.346 4.209 11.482
angles: 90.00 90.00 90.00
Space group Amm2 (No. 38)
One atom of each set of equivalent atoms:
Li 0.000 0.000 0.000
Y 0.000 0.000 0.720
Y 0.500 0.000 0.422
Sb 0.500 0.000 0.141

Computed properties:
E_form (uncorrected): -57.19 kJ/mol of atoms



A relaxed TcBRu3 crystal, computed with GGA-PBE.

abc: 4.621 4.621 4.621
angles: 90.00 90.00 90.00
Space group Pm-3m (No. 221)
One atom of each set of equivalent atoms:
Tc 0.000 0.000 0.000
B 0.500 0.500 0.500
Ru 0.000 0.000 0.500

Computed properties:
calculated formation energy: 2.48 eV/atom
E above lowest polymorph: 2271 meV per atom



A relaxed Li2GaPd crystal, computed with GGA-PBE.

abc: 3.207 3.207 5.519
angles: 90.00 90.00 90.00
Space group P4/mmm (No. 123)
One atom of each set of equivalent atoms:
Li 0.000 0.000 0.235
Ga 0.500 0.500 0.500
Pd 0.500 0.500 0.000

Computed properties:
calculated formation energy: -0.40 eV/atom



A relaxed Ti2Mn2Pb crystal, computed with GGA-PBE.

abc: 7.074 7.074 3.172
angles: 90.00 90.00 90.00
Space group P4/mbm (No. 127)
One atom of each set of equivalent atoms:
Ti 0.184 0.316 0.000
Mn 0.102 0.602 0.500
Pb 0.000 0.000 0.500

Computed properties:
calculated formation energy: 0.10 eV/atom
E above lowest polymorph: 0 meV per atom



A relaxed BaCa6Tl crystal, computed with GGA-PBE.

abc: 4.242 12.377 12.448
angles: 90.00 90.00 90.00
Space group Amm2 (No. 38)
One atom of each set of equivalent atoms:
Ba 0.000 0.000 0.000
Ca 0.000 0.000 0.549
Ca 0.000 0.223 0.769
Ca 0.500 0.000 0.286
Ca 0.500 0.235 0.520
Tl 0.500 0.000 0.755

Computed properties:
calculated formation energy: -0.08 eV/atom



A relaxed LiLaPt2 crystal, computed with GGA-PBE.

abc: 3.632 3.644 5.952
angles: 90.00 90.00 90.00
Space group Pmmm (No. 47)
One atom of each set of equivalent atoms:
Li 0.000 0.000 0.000
La 0.000 0.000 0.500
Pt 0.500 0.500 0.227

Computed properties:
calculated formation energy: -0.83 eV/atom



A relaxed Nd2IrSe crystal, computed with GGA-PBE.

abc: 3.593 3.593 7.399
angles: 90.00 90.00 90.00
Space group P4/mmm (No. 123)
One atom of each set of equivalent atoms:
Nd 0.000 0.000 0.234
Ir 0.500 0.500 0.000
Se 0.500 0.500 0.500

Computed properties:
E_form (uncorrected): -103.09 kJ/mol of atoms
E above lowest polymorph: 132 meV per atom



A relaxed Tl2AgSe2 crystal, computed with GGA-PBE.

abc: 3.965 3.965 17.257
angles: 90.00 90.00 90.00
Space group I4/mmm (No. 139)
One atom of each set of equivalent atoms:
Tl 0.000 0.000 0.098
Ag 0.000 0.000 0.500
Se 0.000 0.500 0.250

Computed properties:
E_form (uncorrected): 5.63 kJ/mol of atoms
E above lowest polymorph: 269 meV per atom



Number 1: total magnetization 0.00 Bohr magnetons per cell. Number 2: total magnetization 0.00 Bohr magnetons per cell. Number 3: total magnetization 3.94 Bohr magnetons per cell. Number 4: total magnetization 0.00 Bohr magnetons per cell. Number 5: total magnetization 0.00 Bohr magnetons per cell. Number 6: total magnetization 1.46 Bohr magnetons per cell. Number 7: total magnetization 1.63 Bohr magnetons per cell. Number 8: total magnetization 0.00 Bohr magnetons per cell. Number 9: total magnetization 0.76 Bohr magnetons per cell. Number 10: total magnetization 0.00 Bohr magnetons per cell. Number 11: total magnetization 0.00 Bohr magnetons per cell. Number 12: total magnetization 0.00 Bohr magnetons per cell. Number 13: total magnetization 0.00 Bohr magnetons per cell.